1.
## SrMgSi3 (meta-GGA SCAN)

Data for a PBEsol-optimized structure of SrMgSi3.

Cell lengths 5.3525, 5.3525, 5.3525 Å; angles 90.00, 90.00, 90.00 degrees
Last column: nearest neighbours and their distance in Å.
Element x y z (fractional)
Sr 0.0000 0.0000 0.0000  6 Si 2.68
Si 0.0000 0.5000 0.0000  2 Sr 2.68
Si 0.0000 0.0000 0.5000  2 Sr 2.68
Si 0.5000 0.0000 0.0000  2 Sr 2.68
Mg 0.5000 0.5000 0.5000  12 Si 3.78

Results
- ΔE_f (raw): 167 kJ/mol of atoms
- Total energy: -48.66 eV per cell

2.
## K2Ag2I (meta-GGA SCAN)

Data for a PBEsol-optimized structure of K2Ag2I.

Cell lengths 6.2402, 6.2402, 6.2402 Å; angles 93.03, 118.27, 118.27 degrees
Last column: nearest neighbours and their distance in Å.
Element x y z (fractional)
I 0.0000 0.0000 0.0000  2 Ag 2.99
K 0.5000 0.7500 0.2500  4 Ag 3.31
K 0.5000 0.2500 0.7500  4 Ag 3.31
Ag 0.0000 0.6521 0.6521  1 Ag 2.61
Ag 0.0000 0.3479 0.3479  1 Ag 2.61

Results
- ΔE_f (raw): -22 kJ/mol of atoms
- Total energy: -117.30 eV per cell

3.
## Ta3HPd (meta-GGA SCAN)

Data for a PBEsol-optimized structure of Ta3HPd.

Cell lengths 4.1078, 4.1078, 4.1078 Å; angles 90.00, 90.00, 90.00 degrees
Last column: nearest neighbours and their distance in Å.
Element x y z (fractional)
H 0.0000 0.0000 0.0000  6 Ta 2.05
Pd 0.5000 0.5000 0.5000  12 Ta 2.90
Ta 0.0000 0.5000 0.0000  2 H 2.05
Ta 0.0000 0.0000 0.5000  2 H 2.05
Ta 0.5000 0.0000 0.0000  2 H 2.05

Results
- ΔE to the lowest computed polymorph: 0.00 eV/f.u.
- Total energy: -236.39 eV per cell

4.
## CsKS2Cl (meta-GGA SCAN)

Data for a PBEsol-optimized structure of CsKS2Cl.

Cell lengths 5.5253, 5.5253, 6.3067 Å; angles 90.00, 90.00, 90.00 degrees
Last column: nearest neighbours and their distance in Å.
Element x y z (fractional)
Cs 0.0000 0.0000 0.0000  4 S 2.76
K 0.5000 0.5000 0.5000  4 Cl 3.91, 8 S 4.19
S 0.0000 0.5000 0.0000  2 Cs 2.76
S 0.5000 0.0000 0.0000  2 Cs 2.76
Cl 0.0000 0.0000 0.5000  2 Cs 3.15

Results
- ΔE_f (raw): -14 kJ/mol of atoms
- Total energy: -74.09 eV per cell

5.
## NaScRh2Br (meta-GGA SCAN)

Data for a PBEsol-optimized structure of NaScRh2Br.

Cell lengths 4.5577, 4.5577, 4.8915 Å; angles 90.00, 90.00, 90.00 degrees
Last column: nearest neighbours and their distance in Å.
Element x y z (fractional)
Sc 0.0000 0.0000 0.5000  2 Na 2.45
Na 0.0000 0.0000 0.0000  4 Rh 2.28, 2 Sc 2.45
Rh 0.0000 0.5000 0.0000  2 Na 2.28
Rh 0.5000 0.0000 0.0000  2 Na 2.28
Br 0.5000 0.5000 0.5000  4 Sc 3.22, 8 Rh 3.34

Results
- ΔE_f (raw): 120 kJ/mol of atoms
- Total energy: -99.22 eV per cell

6.
## MnCu (meta-GGA SCAN)

Data for a PBEsol-optimized structure of MnCu.

Cell lengths 2.4321, 2.4321, 4.1834 Å; angles 90.00, 90.00, 112.25 degrees
Last column: nearest neighbours and their distance in Å.
Element x y z (fractional)
Cu 0.0000 0.0000 0.0000  6 Cu 2.43-2.71, 4 Mn 2.49
Mn 0.5000 0.5000 0.5000  6 Mn 2.43-2.71, 4 Cu 2.49

Results
- Total energy: -33.12 eV per cell
- Energy of formation from the pure elements: 0.169 eV/atom

7.
## Cr2CoRu (meta-GGA SCAN)

Data for a PBEsol-optimized structure of Cr2CoRu.

Cell lengths 2.8984, 2.8984, 5.5029 Å; angles 90.00, 90.00, 90.00 degrees
Last column: nearest neighbours and their distance in Å.
Element x y z (fractional)
Co 0.5000 0.5000 0.7921  5 Cr 2.28-2.48
Cr 0.0000 0.0000 0.9722  4 Co 2.28, 4 Cr 2.53
Cr 0.5000 0.5000 0.2421  4 Ru 2.47, 1 Co 2.48, 4 Cr 2.53
Ru 0.0000 0.0000 0.4936  5 Cr 2.47-2.63, 4 Co 2.63

Results
- Total energy: -87.98 eV per cell
- Energy of formation from the pure elements: 0.231 eV/atom

8.
## Tl2GeSe (meta-GGA SCAN)

Data for a PBEsol-optimized structure of Tl2GeSe.

Cell lengths 5.1681, 5.1681, 5.1681 Å; angles 60.00, 60.00, 60.00 degrees
Last column: nearest neighbours and their distance in Å.
Element x y z (fractional)
Tl 0.2500 0.2500 0.2500  4 Se 3.16, 4 Ge 3.16
Tl 0.7500 0.7500 0.7500  4 Ge 3.16, 4 Se 3.16
Ge 0.0000 0.0000 0.0000  8 Tl 3.16
Se 0.5000 0.5000 0.5000  8 Tl 3.16

Results
- ΔE_f (raw): 23 kJ/mol of atoms
- Total energy: -182.93 eV per cell

9.
## In2Au (meta-GGA SCAN)

Data for a PBEsol-optimized structure of In2Au.

Cell lengths 3.9845, 5.3329, 7.0835 Å; angles 78.08, 73.66, 68.06 degrees
Last column: nearest neighbours and their distance in Å.
Element x y z (fractional)
Au 0.3508 0.6142 0.6841  8 In 2.78-2.98, 1 Au 2.86
Au 0.6492 0.3858 0.3159  8 In 2.78-2.98, 1 Au 2.86
In 0.6598 0.7358 0.9447  3 Au 2.78-2.89, 3 In 2.80-3.09
In 0.9100 0.8064 0.3737  5 Au 2.85-2.98
In 0.0900 0.1936 0.6263  5 Au 2.85-2.98
In 0.3402 0.2642 0.0553  3 Au 2.78-2.89, 3 In 2.80-3.09

Results
- Total energy: -273.27 eV per cell
- Energy of formation from the pure elements: -0.235 eV/atom

10.
## BeTlFe (meta-GGA SCAN)

Data for a PBEsol-optimized structure of BeTlFe.

Cell lengths 3.2324, 3.8145, 3.8145 Å; angles 120.00, 90.00, 90.00 degrees
Last column: nearest neighbours and their distance in Å.
Element x y z (fractional)
Be 0.0000 0.0000 0.0000  3 Fe 2.20
Tl 0.5000 0.3333 0.6667  6 Be 2.73, 6 Fe 2.73
Fe 0.0000 0.6667 0.3333  3 Be 2.20

Results
- Total energy: -92.67 eV per cell
- Energy of formation from the pure elements: 0.725 eV/atom

11.
## LiNiSnF2 (meta-GGA SCAN)

Data for a PBEsol-optimized structure of LiNiSnF2.

Cell lengths 4.2972, 4.2972, 6.1388 Å; angles 90.00, 90.00, 90.00 degrees
Last column: nearest neighbours and their distance in Å.
Element x y z (fractional)
Ni 0.5000 0.5000 0.5000  4 Li 3.04
Li 0.0000 0.0000 0.5000  4 Ni 3.04, 2 Sn 3.07
Sn 0.0000 0.0000 0.0000  4 F 2.15
F 0.0000 0.5000 0.0000  2 Sn 2.15
F 0.5000 0.0000 0.0000  2 Sn 2.15

Results
- ΔE_f (raw): -52 kJ/mol of atoms
- Total energy: -64.27 eV per cell

12.
## YAl20Cr2 (meta-GGA SCAN)

Data for a PBEsol-optimized structure of YAl20Cr2.

Cell lengths 10.2052, 10.2052, 10.2052 Å; angles 60.00, 60.00, 60.00 degrees
Last column: nearest neighbours and their distance in Å.
Element x y z (fractional)
Y 0.0000 0.0000 0.0000  16 Al 3.12-3.21
Y 0.2500 0.2500 0.2500  16 Al 3.12-3.21
Al 0.6370 0.6370 0.3630  2 Cr 2.56, 10 Al 2.70-2.82
Al 0.3630 0.3630 0.6370  2 Cr 2.56, 10 Al 2.70-2.82
Al 0.6370 0.3630 0.6370  2 Cr 2.56, 10 Al 2.70-2.82
Al 0.3630 0.6370 0.3630  2 Cr 2.56, 10 Al 2.70-2.82
Al 0.6370 0.3630 0.3630  2 Cr 2.56, 10 Al 2.70-2.82
Al 0.3630 0.6370 0.6370  2 Cr 2.56, 10 Al 2.70-2.82
Al 0.6130 0.6130 0.8870  2 Cr 2.56, 10 Al 2.70-2.82
Al 0.8870 0.8870 0.6130  2 Cr 2.56, 10 Al 2.70-2.82
Al 0.6130 0.8870 0.6130  2 Cr 2.56, 10 Al 2.70-2.82
Al 0.8870 0.6130 0.8870  2 Cr 2.56, 10 Al 2.70-2.82
Al 0.6130 0.8870 0.8870  2 Cr 2.56, 10 Al 2.70-2.82
Al 0.8870 0.6130 0.6130  2 Cr 2.56, 10 Al 2.70-2.82
Al 0.3344 0.7988 0.7988  8 Al 2.70-2.90, 1 Cr 2.78
Al 0.7988 0.3344 0.0680  8 Al 2.70-2.90, 1 Cr 2.78
Al 0.7988 0.0680 0.3344  8 Al 2.70-2.90, 1 Cr 2.78
Al 0.0680 0.7988 0.7988  8 Al 2.70-2.90, 1 Cr 2.78
Al 0.3344 0.0680 0.7988  8 Al 2.70-2.90, 1 Cr 2.78
Al 0.7988 0.7988 0.3344  8 Al 2.70-2.90, 1 Cr 2.78
Al 0.7988 0.7988 0.0680  8 Al 2.70-2.90, 1 Cr 2.78
Al 0.0680 0.3344 0.7988  8 Al 2.70-2.90, 1 Cr 2.78
Al 0.3344 0.7988 0.0680  8 Al 2.70-2.90, 1 Cr 2.78
Al 0.7988 0.0680 0.7988  8 Al 2.70-2.90, 1 Cr 2.78
Al 0.7988 0.3344 0.7988  8 Al 2.70-2.90, 1 Cr 2.78
Al 0.0680 0.7988 0.3344  8 Al 2.70-2.90, 1 Cr 2.78
Al 0.9156 0.4512 0.4512  8 Al 2.70-2.90, 1 Cr 2.78
Al 0.4512 0.9156 0.1820  8 Al 2.70-2.90, 1 Cr 2.78
Al 0.4512 0.1820 0.9156  8 Al 2.70-2.90, 1 Cr 2.78
Al 0.1820 0.4512 0.4512  8 Al 2.70-2.90, 1 Cr 2.78
Al 0.9156 0.1820 0.4512  8 Al 2.70-2.90, 1 Cr 2.78
Al 0.4512 0.4512 0.9156  8 Al 2.70-2.90, 1 Cr 2.78
Al 0.4512 0.4512 0.1820  8 Al 2.70-2.90, 1 Cr 2.78
Al 0.1820 0.9156 0.4512  8 Al 2.70-2.90, 1 Cr 2.78
Al 0.9156 0.4512 0.1820  8 Al 2.70-2.90, 1 Cr 2.78
Al 0.4512 0.1820 0.4512  8 Al 2.70-2.90, 1 Cr 2.78
Al 0.4512 0.9156 0.4512  8 Al 2.70-2.90, 1 Cr 2.78
Al 0.1820 0.4512 0.9156  8 Al 2.70-2.90, 1 Cr 2.78
Al 0.1250 0.1250 0.1250  12 Al 3.09, 2 Y 3.12
Al 0.1250 0.1250 0.6250  12 Al 3.09, 2 Y 3.12
Al 0.1250 0.6250 0.1250  12 Al 3.09, 2 Y 3.12
Al 0.6250 0.1250 0.1250  12 Al 3.09, 2 Y 3.12
Cr 0.6250 0.6250 0.6250  12 Al 2.56-2.78
Cr 0.6250 0.6250 0.1250  12 Al 2.56-2.78
Cr 0.6250 0.1250 0.6250  12 Al 2.56-2.78
Cr 0.1250 0.6250 0.6250  12 Al 2.56-2.78

Results
- Total energy: -447.77 eV per cell
- Energy of formation from the pure elements: -0.184 eV/atom